No. 1
Material: Sm4InSb
Method: DFT, GGA-PBE
State: optimized geometry

Summary:
Space-group type: No. 63

Unit cell a=11.2562 b=11.2562 c=6.4499 alpha=90.00 beta=90.00 gamma=150.60
Atoms (fractional coordinates):
Sm 0.0663 0.9337 0.7500
Sm 0.2101 0.7899 0.0002
Sm 0.2101 0.7899 0.4998
Sm 0.3719 0.6281 0.7500
Sm 0.6281 0.3719 0.2500
Sm 0.7899 0.2101 0.9998
Sm 0.7899 0.2101 0.5002
Sm 0.9337 0.0663 0.2500
In 0.0748 0.9252 0.2500
In 0.9252 0.0748 0.7500
Sb 0.3457 0.6543 0.2500
Sb 0.6543 0.3457 0.7500

=====

No. 2
Material: SmInSb
Method: DFT, GGA-PBE
State: optimized geometry

Summary:
Space-group type: No. 129

Unit cell a=4.4278 b=4.4278 c=8.8580 alpha=90.00 beta=90.00 gamma=90.00
Atoms (fractional coordinates):
Sm 0.2500 0.2500 0.1779
Sm 0.7500 0.7500 0.8221
In 0.2500 0.7500 0.5000
In 0.7500 0.2500 0.5000
Sb 0.2500 0.2500 0.8222
Sb 0.7500 0.7500 0.1778

=====

No. 3
Material: SmIn2Sb
Method: DFT, GGA-PBE
State: optimized geometry

Summary:
Space-group type: No. 123

Unit cell a=4.6454 b=4.6454 c=4.9365 alpha=90.00 beta=90.00 gamma=90.00
Atoms (fractional coordinates):
Sm 0.0000 0.0000 0.0000
In 0.0000 0.5000 0.5000
In 0.5000 0.0000 0.5000
Sb 0.5000 0.5000 0.0000

=====

No. 4
Material: Sm6In5Sb
Method: DFT, GGA-PBE
State: optimized geometry

Summary:
Space-group type: No. 65

Unit cell a=8.0358 b=8.0358 c=8.6892 alpha=90.00 beta=90.00 gamma=143.24
Atoms (fractional coordinates):
Sm 0.0000 0.0000 0.2448
Sm 0.0000 0.0000 0.7552
Sm 0.3354 0.6646 0.2513
Sm 0.3354 0.6646 0.7487
Sm 0.6646 0.3354 0.2513
Sm 0.6646 0.3354 0.7487
In 0.1657 0.8343 0.5000
In 0.1761 0.8239 0.0000
In 0.5000 0.5000 0.5000
In 0.8239 0.1761 0.0000
In 0.8343 0.1657 0.5000
Sb 0.5000 0.5000 0.0000

=====

Uncorrected formation energy (meV per atom)
-349; -681; -482; -544